Record 1
Material: PrMn4Ga8
Method: DFT, PBE
State: optimized geometry

Cell: 6.8074 6.8074 6.8074 Å, 98.45 98.45 134.91°
Fractional coordinates of all 13 atoms:
Pr (0.0000, 0.0000, 0.0000)
Mn (0.0000, 0.0000, 0.5000)
Mn (0.0000, 0.5000, 0.0000)
Mn (0.5000, 0.0000, 0.0000)
Mn (0.5000, 0.5000, 0.5000)
Ga (0.0000, 0.3381, 0.3381)
Ga (0.0000, 0.6619, 0.6619)
Ga (0.2700, 0.5000, 0.7700)
Ga (0.3381, 0.0000, 0.3381)
Ga (0.5000, 0.2700, 0.7700)
Ga (0.5000, 0.7300, 0.2300)
Ga (0.6619, 0.0000, 0.6619)
Ga (0.7300, 0.5000, 0.2300)

Properties
M_tot = 9.26 Bohr magnetons per cell
Energy of formation from the pure elements = -0.247 eV per atom

Record 2
Material: RbAlZnGe2
Method: DFT, PBE
State: optimized geometry

Cell: 4.5736 4.5736 10.8652 Å, 90.00 90.00 90.00°
Fractional coordinates of all 10 atoms:
Rb (0.0000, 0.0000, 0.0000)
Rb (0.5000, 0.5000, 0.5000)
Al (0.0000, 0.5000, 0.2500)
Al (0.5000, 0.0000, 0.7500)
Zn (0.0000, 0.5000, 0.7500)
Zn (0.5000, 0.0000, 0.2500)
Ge (0.0000, 0.0000, 0.3768)
Ge (0.0000, 0.0000, 0.6232)
Ge (0.5000, 0.5000, 0.1232)
Ge (0.5000, 0.5000, 0.8768)

Properties
M_tot = 0.00 Bohr magnetons per cell
Energy of formation from the pure elements = -0.060 eV per atom

Record 3
Material: CoAg2Cl
Method: DFT, PBE
State: optimized geometry

Cell: 2.9595 2.9595 8.2624 Å, 90.00 90.00 90.00°
Fractional coordinates of all 4 atoms:
Co (0.0000, 0.0000, 0.0000)
Ag (0.0000, 0.0000, 0.4770)
Ag (0.5000, 0.5000, 0.2338)
Cl (0.5000, 0.5000, 0.8472)

Properties
Relative energy among the computed polymorphs = 68 meV per atom
M_tot = 2.11 Bohr magnetons per cell

Record 4
Material: Al2GaPt
Method: DFT, PBE
State: optimized geometry

Cell: 3.0146 3.0146 26.8551 Å, 90.00 90.00 120.00°
Fractional coordinates of all 12 atoms:
Al (0.0000, 0.0000, 0.0948)
Al (0.0000, 0.0000, 0.9052)
Al (0.3333, 0.6667, 0.5718)
Al (0.3333, 0.6667, 0.7615)
Al (0.6667, 0.3333, 0.2385)
Al (0.6667, 0.3333, 0.4282)
Ga (0.0000, 0.0000, 0.0000)
Ga (0.3333, 0.6667, 0.6667)
Ga (0.6667, 0.3333, 0.3333)
Pt (0.0000, 0.0000, 0.5000)
Pt (0.3333, 0.6667, 0.1667)
Pt (0.6667, 0.3333, 0.8333)

Properties
M_tot = 0.00 Bohr magnetons per cell
Energy of formation from the pure elements = -0.316 eV per atom